(1)
# CuTc2As | the Alexandria database | PBE | optimized geometry
# uncorrected energy = -28.88 eV/cell
data_CuTc2As
_chemical_formula_sum 'Cu1 Tc2 As1'
_symmetry_space_group_name_H-M 'P 1'
_symmetry_Int_Tables_number 1
_cell_length_a 4.2699
_cell_length_b 4.2699
_cell_length_c 3.0199
_cell_angle_alpha 90.00
_cell_angle_beta 90.00
_cell_angle_gamma 90.02
loop_
_symmetry_equiv_pos_as_xyz
'x,y,z'
loop_
_atom_site_label
_atom_site_fract_x
_atom_site_fract_y
_atom_site_fract_z
Tc1 0.0000 0.0000 0.0000
Tc2 0.5000 0.5000 0.0000
As1 0.5000 0.0000 0.5000
Cu1 0.0000 0.5000 0.5000

(2)
# CuTc3As | the Alexandria database | PBE | optimized geometry
# relative energy among the computed polymorphs = 0.357 eV per atom
data_CuTc3As
_chemical_formula_sum 'Cu1 Tc3 As1'
_symmetry_space_group_name_H-M 'P 1'
_symmetry_Int_Tables_number 1
_cell_length_a 4.4841
_cell_length_b 4.4841
_cell_length_c 4.4841
_cell_angle_alpha 90.00
_cell_angle_beta 90.00
_cell_angle_gamma 90.00
loop_
_symmetry_equiv_pos_as_xyz
'x,y,z'
loop_
_atom_site_label
_atom_site_fract_x
_atom_site_fract_y
_atom_site_fract_z
Cu1 0.0000 0.0000 0.0000
Tc1 0.0000 0.0000 0.5000
Tc2 0.5000 0.0000 0.0000
As1 0.5000 0.5000 0.5000
Tc3 0.0000 0.5000 0.0000

(3)
# CuTcAs | the Alexandria database | PBE | optimized geometry
# relative energy among the computed polymorphs = 0.076 eV per atom
data_CuTcAs
_chemical_formula_sum 'Cu1 Tc1 As1'
_symmetry_space_group_name_H-M 'P 1'
_symmetry_Int_Tables_number 1
_cell_length_a 4.1007
_cell_length_b 4.1007
_cell_length_c 3.0581
_cell_angle_alpha 90.00
_cell_angle_beta 90.00
_cell_angle_gamma 120.00
loop_
_symmetry_equiv_pos_as_xyz
'x,y,z'
loop_
_atom_site_label
_atom_site_fract_x
_atom_site_fract_y
_atom_site_fract_z
Cu1 0.6667 0.3333 0.2870
Tc1 0.3333 0.6667 0.7835
As1 0.0000 0.0000 0.9296

(4)
# CuTc2As | the Alexandria database | PBE | optimized geometry
# uncorrected energy = -28.62 eV/cell
data_CuTc2As
_chemical_formula_sum 'Cu1 Tc2 As1'
_symmetry_space_group_name_H-M 'P 1'
_symmetry_Int_Tables_number 1
_cell_length_a 4.4079
_cell_length_b 4.4079
_cell_length_c 4.8674
_cell_angle_alpha 78.18
_cell_angle_beta 78.18
_cell_angle_gamma 38.30
loop_
_symmetry_equiv_pos_as_xyz
'x,y,z'
loop_
_atom_site_label
_atom_site_fract_x
_atom_site_fract_y
_atom_site_fract_z
Tc1 0.4935 0.4935 0.5000
Cu1 0.2500 0.2500 0.2500
Tc2 0.0065 0.0065 0.0000
As1 0.7500 0.7500 0.7500

(5)
# CuTc2As | the Alexandria database | PBE | optimized geometry
# uncorrected energy = -54.88 eV/cell
data_CuTc2As
_chemical_formula_sum 'Cu2 Tc4 As2'
_symmetry_space_group_name_H-M 'P 1'
_symmetry_Int_Tables_number 1
_cell_length_a 6.9902
_cell_length_b 6.9902
_cell_length_c 5.5557
_cell_angle_alpha 51.02
_cell_angle_beta 51.02
_cell_angle_gamma 90.00
loop_
_symmetry_equiv_pos_as_xyz
'x,y,z'
loop_
_atom_site_label
_atom_site_fract_x
_atom_site_fract_y
_atom_site_fract_z
Tc1 0.8750 0.9036 0.7500
Cu1 0.5000 0.5000 0.0000
As1 0.7500 0.2500 0.5000
As2 0.0000 0.0000 0.0000
Cu2 0.2500 0.7500 0.5000
Tc2 0.0964 0.6250 0.2500
Tc3 0.3750 0.3464 0.7500
Tc4 0.6536 0.1250 0.2500

(6)
# CuTc2As | the Alexandria database | PBE | optimized geometry
# uncorrected energy = -28.04 eV/cell
data_CuTc2As
_chemical_formula_sum 'Cu1 Tc2 As1'
_symmetry_space_group_name_H-M 'P 1'
_symmetry_Int_Tables_number 1
_cell_length_a 2.9271
_cell_length_b 4.5557
_cell_length_c 4.3409
_cell_angle_alpha 90.00
_cell_angle_beta 90.00
_cell_angle_gamma 90.00
loop_
_symmetry_equiv_pos_as_xyz
'x,y,z'
loop_
_atom_site_label
_atom_site_fract_x
_atom_site_fract_y
_atom_site_fract_z
Tc1 0.0000 0.0000 0.0000
As1 0.5000 0.0000 0.5000
Tc2 0.5000 0.5000 0.0000
Cu1 0.0000 0.5000 0.5000

(7)
# CuTc2As | the Alexandria database | PBE | optimized geometry
# uncorrected energy = -28.93 eV/cell
data_CuTc2As
_chemical_formula_sum 'Cu1 Tc2 As1'
_symmetry_space_group_name_H-M 'P 1'
_symmetry_Int_Tables_number 1
_cell_length_a 2.9690
_cell_length_b 3.5045
_cell_length_c 5.5131
_cell_angle_alpha 90.00
_cell_angle_beta 90.00
_cell_angle_gamma 90.00
loop_
_symmetry_equiv_pos_as_xyz
'x,y,z'
loop_
_atom_site_label
_atom_site_fract_x
_atom_site_fract_y
_atom_site_fract_z
As1 0.0000 0.0000 0.5170
Cu1 0.5000 0.5000 0.7506
Tc1 0.0000 0.0000 0.9966
Tc2 0.5000 0.5000 0.2359

(8)
# CuTcAs | the Alexandria database | PBE | optimized geometry
# relative energy among the computed polymorphs = 0.304 eV per atom
data_CuTcAs
_chemical_formula_sum 'Cu1 Tc1 As1'
_symmetry_space_group_name_H-M 'P 1'
_symmetry_Int_Tables_number 1
_cell_length_a 6.8501
_cell_length_b 6.6044
_cell_length_c 2.8094
_cell_angle_alpha 82.90
_cell_angle_beta 73.08
_cell_angle_gamma 24.02
loop_
_symmetry_equiv_pos_as_xyz
'x,y,z'
loop_
_atom_site_label
_atom_site_fract_x
_atom_site_fract_y
_atom_site_fract_z
Tc1 0.3368 0.3368 0.6632
Cu1 0.6702 0.6702 0.3298
As1 0.9930 0.9930 0.0070